Entry 1:
The following is a PBE calculation of crystalline CuRu2Rh at its relaxed geometry, from Alexandria.

```
CuRu2Rh
1.0
4.5459 0.0000 0.0000
0.0000 4.5459 0.0000
0.0000 0.0000 2.7069
Cu Rh Ru
1 1 2
direct
0.5000 0.0000 0.5000
0.0000 0.5000 0.5000
0.0000 0.0000 0.0000
0.5000 0.5000 0.0000
```

Energy relative to the lowest polymorph listed for this composition   0.307 eV/atom
Magnetic moment   1.78 μB per formula unit
D(E_F)   5.79 states/eV per cell
Energy of formation   0.43 eV/atom
Calculated volume   13.98 Å³/atom
Space group   P4/mmm, No. 123



Entry 2:
The following is a PBE calculation of crystalline YTm2In3S6 at its relaxed geometry, from Alexandria.

```
YTm2In3S6
1.0
-3.7373 -4.1590 3.9668
1.2656 -1.7042 -6.5188
7.0773 -1.6155 2.9985
Y Tm In S
1 2 3 6
direct
0.0000 0.0000 0.0000
0.3333 0.6667 0.0000
0.6667 0.3333 0.0000
0.1660 0.8340 0.5000
0.8340 0.1660 0.5000
0.5000 0.5000 0.5000
0.9334 0.5960 0.8003
0.7289 0.7289 0.1987
0.0666 0.4040 0.1997
0.5960 0.9334 0.8003
0.2711 0.2711 0.8013
0.4040 0.0666 0.1997
```

Electronic total energy   -5.438 eV per atom
Magnetic moment   0.00 μB per formula unit
Calculated volume   25.49 Å³/atom
Space group   C2/m, No. 12



Entry 3:
The following is a PBE calculation of crystalline Mn2H3 at its relaxed geometry, from Alexandria.

```
Mn2H3
1.0
2.5614 0.0000 0.0000
-1.2807 6.5649 2.0976
0.0000 3.0256 8.0116
Mn H
6 9
direct
0.6667 0.3333 0.4903
0.3333 0.6667 0.5097
0.6667 0.3333 0.1763
0.3333 0.6667 0.8237
0.0000 0.0000 0.1570
0.0000 0.0000 0.8430
0.8334 0.6667 0.9690
0.1666 0.3333 0.0310
0.8333 0.6667 0.3643
0.1667 0.3333 0.6357
0.1667 0.3334 0.3333
0.8333 0.6666 0.6667
0.4999 0.9999 0.3024
0.5001 0.0001 0.6976
0.5000 0.0000 0.0000
```

Energy relative to the lowest polymorph listed for this composition   0.093 eV/atom
Magnetic moment   5.54 μB per formula unit
D(E_F)   6.57 states/eV per cell
Calculated volume   7.90 Å³/atom
Space group   Immm, No. 71



Entry 4:
The following is a PBE calculation of crystalline NdSc2IrO8 at its relaxed geometry, from Alexandria.

```
NdSc2IrO8
1.0
4.9077 0.0379 -0.0031
0.0680 4.8991 -0.0055
0.0042 0.0073 6.6541
Nd Sc Ir O
1 2 1 8
direct
0.0000 0.0000 0.5000
0.5000 0.5000 0.7419
0.5000 0.5000 0.2581
0.0000 0.0000 0.0000
0.1966 0.8002 0.2060
0.7246 0.7274 0.0000
0.8034 0.1999 0.2060
0.8034 0.1998 0.7940
0.2754 0.2726 0.0000
0.1966 0.8001 0.7940
0.6745 0.6786 0.5000
0.3255 0.3214 0.5000
```

Electronic total energy   -7.779 eV per atom
Magnetic moment   1.43 μB per formula unit
D(E_F)   5.38 states/eV per cell
Calculated volume   13.33 Å³/atom
Space group   P2/m, No. 10



Entry 5:
The following is a PBE calculation of crystalline BeTcSb2 at its relaxed geometry, from Alexandria.

```
BeTcSb2
1.0
-0.8019 3.2345 -2.5829
-2.8001 -1.7817 -1.3618
-4.2277 1.0352 2.6090
Sb Tc Be
2 1 1
direct
0.0000 0.9790 0.9162
0.5000 0.2774 0.3209
0.0000 0.6884 0.4981
0.5000 0.5553 0.7649
```

Electronic total energy   -5.475 eV per atom
Magnetic moment   0.00 μB per formula unit
D(E_F)   2.64 states/eV per cell
Calculated volume   17.95 Å³/atom
Space group   Amm2, No. 38



Entry 6:
The following is a PBE calculation of crystalline Nd8Ho3 at its relaxed geometry, from Alexandria.

```
Nd8Ho3
1.0
-4.1035 3.4465 4.9882
-3.5956 -5.9740 2.2321
4.4077 -1.4212 5.6703
Nd Ho
8 3
direct
0.8846 0.3077 0.1503
0.3077 0.1503 0.8846
0.1503 0.8846 0.3077
0.3883 0.3883 0.3883
0.6117 0.6117 0.6117
0.8497 0.1154 0.6923
0.6923 0.8497 0.1154
0.1154 0.6923 0.8497
0.5000 0.0000 0.5000
0.0000 0.5000 0.5000
0.5000 0.5000 0.0000
```

Energy relative to the lowest polymorph listed for this composition   0.109 eV/atom
Magnetic moment   0.00 μB per formula unit
D(E_F)   12.21 states/eV per cell
Energy of formation   0.46 eV/atom
Calculated volume   35.18 Å³/atom
Space group   R-3, No. 148